Entry from Alexandria: crystalline LaNd2S4 at its relaxed geometry (PBE).

Lattice parameters (Å, degrees): 4.005 7.039 13.524 90.00 90.00 106.53
Fractional positions:
S: 0.775 0.549 0.122
S: 0.500 0.000 0.500
S: 0.225 0.451 0.622
S: 0.970 0.941 0.750
S: 0.030 0.059 0.250
S: 0.775 0.549 0.378
S: 0.500 0.000 0.000
S: 0.225 0.451 0.878
Nd: 0.870 0.741 0.932
Nd: 0.130 0.259 0.432
Nd: 0.130 0.259 0.068
Nd: 0.870 0.741 0.568
La: 0.377 0.753 0.250
La: 0.623 0.247 0.750

Values from the calculation:
Uncorrected energy ... -6.52 eV per atom
E_form (uncorrected) ... -2091 meV per atom